1.
Computed, not measured: a PBEsol-optimized structure of NaCd2Ni2 at the SCAN level of DFT. Values from VASP.

## Properties
* total moment: 0.00 μB/cell
* theoretical density: 6.9 Mg/m³
* energy: -96.2 eV per cell
* ΔH_f (0 K): 0.25 eV/atom
* SG: I4/mmm (139)

```
&SYSTEM
  ibrav = 0, nat = 5, ntyp = 3
/
ATOMIC_SPECIES
Na 22.99 Na.upf
Ni 58.69 Ni.upf
Cd 112.41 Cd.upf
CELL_PARAMETERS angstrom
3.6356 0.0000 0.0000
0.0000 3.6356 0.0000
-1.8178 -1.8178 6.6369
ATOMIC_POSITIONS angstrom
Na 0.0000 0.0000 0.0000
Ni 0.0000 1.8178 3.3185
Cd 1.8178 1.8178 1.4853
Ni 1.8178 0.0000 3.3185
Cd 0.0000 0.0000 5.1516
```

---

2.
Computed, not measured: a PBEsol-optimized structure of InTcGe3 at the SCAN level of DFT. Values from VASP.

## Properties
* total moment: 3.95 μB/cell
* theoretical density: 5.6 Mg/m³
* energy: -117.7 eV per cell
* ΔH_f (0 K): 1.59 eV/atom
* SG: Pm-3m (221)

```
&SYSTEM
  ibrav = 0, nat = 5, ntyp = 3
/
ATOMIC_SPECIES
Ge 72.64 Ge.upf
In 114.82 In.upf
Tc 98.00 Tc.upf
CELL_PARAMETERS angstrom
5.0398 0.0000 0.0000
0.0000 5.0398 0.0000
0.0000 0.0000 5.0398
ATOMIC_POSITIONS angstrom
Ge 0.0000 0.0000 2.5199
Ge 0.0000 2.5199 0.0000
In 0.0000 0.0000 0.0000
Ge 2.5199 0.0000 0.0000
Tc 2.5199 2.5199 2.5199
```

---

3.
Computed, not measured: a PBEsol-optimized structure of InAgAu at the SCAN level of DFT. Values from VASP.

## Properties
* total moment: 0.00 μB/cell
* theoretical density: 12.6 Mg/m³
* energy: -134.1 eV per cell
* ΔH_f (0 K): -0.08 eV/atom
* SG: P3m1 (156)

```
&SYSTEM
  ibrav = 0, nat = 3, ntyp = 3
/
ATOMIC_SPECIES
Ag 107.87 Ag.upf
In 114.82 In.upf
Au 196.97 Au.upf
CELL_PARAMETERS angstrom
2.9167 0.0000 0.0000
0.0000 4.6812 0.0000
0.0000 -2.3406 4.0540
ATOMIC_POSITIONS angstrom
Ag 0.0210 0.0000 0.0000
In 1.2087 2.3406 1.3513
Au 1.6871 0.0000 2.7027
```

---

4.
Computed, not measured: a PBEsol-optimized structure of BaYSe2 at the SCAN level of DFT. Values from VASP.

## Properties
* total moment: 0.00 μB/cell
* energy relative to the elements, uncorrected: -2133 meV/atom
* theoretical density: 5.7 Mg/m³
* energy: -116.1 eV per cell
* SG: R-3m (166)

```
&SYSTEM
  ibrav = 0, nat = 4, ntyp = 3
/
ATOMIC_SPECIES
Y 88.91 Y.upf
Se 78.96 Se.upf
Ba 137.33 Ba.upf
CELL_PARAMETERS angstrom
-4.1337 -0.8107 -0.2587
-1.7784 -2.7624 2.6491
-3.3205 4.1898 5.5017
ATOMIC_POSITIONS angstrom
Y 0.0000 0.0000 0.0000
Se -6.9751 0.6643 6.0955
Se -2.2575 -0.0476 1.7966
Ba -4.6163 0.3083 3.9460
```

---

5.
Computed, not measured: a PBEsol-optimized structure of HgTePt2 at the SCAN level of DFT. Values from VASP.

## Properties
* total moment: 0.00 μB/cell
* energy relative to the elements, uncorrected: -80 meV/atom
* theoretical density: 14.8 Mg/m³
* energy: -246.1 eV per cell
* SG: R-3m (166)

```
&SYSTEM
  ibrav = 0, nat = 4, ntyp = 3
/
ATOMIC_SPECIES
Te 127.60 Te.upf
Hg 200.59 Hg.upf
Pt 195.08 Pt.upf
CELL_PARAMETERS angstrom
-3.2888 0.9505 -1.5467
-2.9704 -2.2718 0.3578
-3.7977 2.6714 5.1548
ATOMIC_POSITIONS angstrom
Te -5.0284 0.6750 1.9830
Hg 0.0000 0.0000 0.0000
Pt -7.5304 0.9902 2.9346
Pt -2.5265 0.3599 1.0313
```

---

6.
Computed, not measured: a PBEsol-optimized structure of Cs2MgH4 at the SCAN level of DFT. Values from VASP.

## Properties
* total moment: 0.00 μB/cell
* theoretical density: 3.7 Mg/m³
* energy: -96.7 eV per cell
* SG: I4/mmm (139)

```
&SYSTEM
  ibrav = 0, nat = 7, ntyp = 3
/
ATOMIC_SPECIES
H 1.01 H.upf
Cs 132.91 Cs.upf
Mg 24.30 Mg.upf
CELL_PARAMETERS angstrom
-3.3183 2.3288 -1.2329
-2.4274 -1.9303 2.8873
4.6372 4.9075 4.0701
ATOMIC_POSITIONS angstrom
H 0.4705 1.3619 1.3060
Cs 1.2488 3.6144 3.4662
Mg 0.0000 0.0000 0.0000
H -1.6592 1.1644 -0.6164
H -1.2137 -0.9651 1.4436
Cs -2.3573 1.6916 2.2583
H -1.5790 3.9441 4.4185
```